Material: Sc2Ag2Pd3
Method: DFT, PBE
State: optimized geometry

Results
For the total energy, the calculation gives -5.41 eV/atom. For the density, the calculation gives 8006 kg/m3. The calculation puts the formation energy at -564 meV per atom. For the magnetic moment, the calculation gives 0.0 μB per formula unit.

abc: 4.568 4.578 7.584
angles: 107.21 90.56 119.44
Sites, in units of the cell vectors:
1 Sc 0.109 0.221 0.329
2 Sc 0.891 0.779 0.671
3 Ag 0.365 0.738 0.101
4 Ag 0.635 0.262 0.899
5 Pd 0.239 0.472 0.713
6 Pd 0.500 0.000 0.500
7 Pd 0.761 0.528 0.287


Material: Sc2AgPd9
Method: DFT, PBE
State: optimized geometry

Results
For the total energy, the calculation gives -5.75 eV/atom. For the density, the calculation gives 9939 kg/m3. The calculation puts the formation energy at -563 meV per atom. For the magnetic moment, the calculation gives 0.0 μB per formula unit.

abc: 3.996 3.996 12.088
angles: 90.00 90.00 90.00
Sites, in units of the cell vectors:
1 Sc 0.000 0.000 0.169
2 Sc 0.000 0.000 0.831
3 Ag 0.000 0.000 0.500
4 Pd 0.000 0.500 0.000
5 Pd 0.000 0.500 0.331
6 Pd 0.000 0.500 0.669
7 Pd 0.500 0.000 0.000
8 Pd 0.500 0.000 0.331
9 Pd 0.500 0.000 0.669
10 Pd 0.500 0.500 0.165
11 Pd 0.500 0.500 0.500
12 Pd 0.500 0.500 0.835


Material: ScAg3Pd
Method: DFT, PBE
State: optimized geometry

Results
For the total energy, the calculation gives -3.44 eV/atom. For the density, the calculation gives 6331 kg/m3. The calculation puts the formation energy at 573 meV per atom. The value obtained for the polymorph energy (0 for the lowest one) is 0.0 meV/atom. For the magnetic moment, the calculation gives 0.3 μB per formula unit.

abc: 4.994 4.994 4.994
angles: 90.00 90.00 90.00
Sites, in units of the cell vectors:
1 Sc 0.000 0.000 0.000
2 Ag 0.000 0.500 0.500
3 Ag 0.500 0.000 0.500
4 Ag 0.500 0.500 0.000
5 Pd 0.500 0.500 0.500